! UCrSnO6 (PBE+U, relaxed); values from VASP
&SYSTEM
  ibrav = 0, nat = 18, ntyp = 4
/
ATOMIC_SPECIES
U 238.03 U.upf
Cr 52.00 Cr.upf
Sn 118.71 Sn.upf
O 16.00 O.upf
CELL_PARAMETERS angstrom
5.337 0.000 0.000
-2.669 4.622 0.000
0.000 0.000 9.106
ATOMIC_POSITIONS crystal
U 0.333 0.667 0.250
U 0.667 0.333 0.750
Cr 0.333 0.667 0.750
Cr 0.667 0.333 0.250
Sn 0.000 0.000 0.000
Sn 0.000 0.000 0.500
O 0.017 0.341 0.629
O 0.017 0.676 0.871
O 0.324 0.341 0.871
O 0.324 0.983 0.629
O 0.341 0.017 0.129
O 0.341 0.324 0.371
O 0.659 0.676 0.629
O 0.659 0.983 0.871
O 0.676 0.017 0.371
O 0.676 0.659 0.129
O 0.983 0.324 0.129
O 0.983 0.659 0.371
! Total DFT energy (no corrections)   -8.082 eV per atom
! V   224.7 Å³ per cell
! SG   P-31c (163)